[1]
! CoSb2As, optimized geometry, DFT PBE; values from VASP
&SYSTEM
  ibrav = 0, nat = 4, ntyp = 3
/
ATOMIC_SPECIES
Co 58.93 Co.upf
Sb 121.76 Sb.upf
As 74.92 As.upf
ATOMIC_POSITIONS angstrom
Co 1.721 1.721 1.721
Sb 0.000 0.000 0.000
Sb 5.164 5.164 5.164
As 3.442 3.442 3.442
CELL_PARAMETERS angstrom
0.000 3.442 3.442
3.442 0.000 3.442
3.442 3.442 0.000
! **Total energy**: -4.42 eV per atom
! **Total magnetization**: 1.33 μB per formula unit



[2]
! Mg2Ge2Pd3, optimized geometry, DFT PBE; values from VASP
&SYSTEM
  ibrav = 0, nat = 7, ntyp = 3
/
ATOMIC_SPECIES
Ge 72.64 Ge.upf
Pd 106.42 Pd.upf
Mg 24.30 Mg.upf
ATOMIC_POSITIONS angstrom
Ge 0.048 -0.042 0.010
Ge 7.846 -6.875 1.564
Pd 5.858 -5.133 1.167
Pd 9.888 -8.664 1.970
Pd 13.878 -12.160 2.766
Mg 11.927 -10.450 2.377
Mg 3.770 -3.303 0.751
CELL_PARAMETERS angstrom
6.954 -2.787 0.521
4.470 -4.957 3.440
4.343 -6.071 -0.819
! **Total energy**: -4.55 eV per atom



[3]
! SmGeH2O4, optimized geometry, DFT PBE; values from VASP
&SYSTEM
  ibrav = 0, nat = 16, ntyp = 4
/
ATOMIC_SPECIES
H 1.01 H.upf
O 16.00 O.upf
Ge 72.64 Ge.upf
Sm 150.36 Sm.upf
ATOMIC_POSITIONS angstrom
H -2.450 -0.456 0.688
H -2.707 0.456 -2.750
H -0.128 -3.000 -4.469
H -5.029 3.000 -1.032
O -0.527 -1.361 -1.302
O -1.274 0.579 -5.520
O -3.105 -1.183 0.419
O -3.852 1.964 -0.365
O -2.052 1.183 -3.019
O -1.305 -1.964 -3.802
O -4.631 1.361 2.136
O -3.884 -0.579 -2.083
Ge -2.578 2.543 -1.580
Ge 0.000 0.000 -6.736
Sm 0.000 0.000 -3.510
Sm -2.579 -2.544 -1.792
CELL_PARAMETERS angstrom
0.000 5.087 -3.438
0.000 -5.087 -3.438
-5.157 0.000 3.438
! **Total energy**: -6.25 eV per atom
! **Total magnetization**: 0.00 μB per formula unit



[4]
! GdSi2Ge2, optimized geometry, DFT PBE; values from VASP
&SYSTEM
  ibrav = 0, nat = 5, ntyp = 3
/
ATOMIC_SPECIES
Ge 72.64 Ge.upf
Si 28.09 Si.upf
Gd 157.25 Gd.upf
ATOMIC_POSITIONS angstrom
Ge -2.787 -0.928 -1.777
Ge -3.262 0.853 0.652
Si -3.782 -1.731 0.531
Si -5.860 -2.682 0.823
Gd 0.000 0.000 0.000
CELL_PARAMETERS angstrom
-4.347 -3.988 -1.752
-5.295 -0.424 3.106
3.592 4.337 -2.480
! **Total energy**: -4.98 eV per atom
! **Total magnetization**: 0.02 μB per formula unit



[5]
! AlCdPO, optimized geometry, DFT PBE; values from VASP
&SYSTEM
  ibrav = 0, nat = 8, ntyp = 4
/
ATOMIC_SPECIES
Cd 112.41 Cd.upf
O 16.00 O.upf
Al 26.98 Al.upf
P 30.97 P.upf
ATOMIC_POSITIONS angstrom
Cd -7.147 -3.676 1.680
Cd -0.079 -1.770 -1.294
O 0.000 0.000 0.000
O -1.040 -0.444 -2.755
Al -4.133 -2.945 -1.184
Al -3.094 -2.501 1.571
P -3.625 -4.637 0.506
P -3.602 -0.810 -0.120
CELL_PARAMETERS angstrom
-2.814 1.930 -2.468
0.735 -2.818 -3.042
-6.187 -5.003 3.141
! **Total energy**: -4.21 eV per atom



[6]
! ReSnS3, optimized geometry, DFT PBE; values from VASP
&SYSTEM
  ibrav = 0, nat = 20, ntyp = 3
/
ATOMIC_SPECIES
Sn 118.71 Sn.upf
S 32.06 S.upf
Re 186.21 Re.upf
ATOMIC_POSITIONS angstrom
Sn 0.084 2.633 9.558
Sn 4.134 2.633 12.216
Sn 8.017 0.878 4.958
Sn 3.966 0.878 2.300
S 5.539 2.633 14.506
S 3.695 0.878 5.603
S 2.562 0.878 0.011
S 2.109 2.633 2.808
S 1.489 2.633 7.269
S 4.405 2.633 8.914
S 5.992 0.878 11.708
S 0.355 2.633 12.861
S 1.942 0.878 10.066
S 7.745 0.878 1.655
S 6.159 2.633 4.450
S 6.612 0.878 7.247
Re 7.168 0.878 13.911
Re 0.933 2.633 0.606
Re 4.983 2.633 6.652
Re 3.117 0.878 7.864
CELL_PARAMETERS angstrom
8.100 0.000 0.000
0.000 3.511 0.000
0.000 0.000 14.516
! **Total energy**: -6.11 eV per atom
! **Total magnetization**: 0.56 μB per formula unit



[7]
! NiS6I3, optimized geometry, DFT PBE; values from VASP
&SYSTEM
  ibrav = 0, nat = 10, ntyp = 3
/
ATOMIC_SPECIES
I 126.90 I.upf
S 32.06 S.upf
Ni 58.69 Ni.upf
ATOMIC_POSITIONS angstrom
I 0.000 0.000 13.174
I 0.000 0.000 0.000
I 0.000 0.000 5.338
S 2.108 -0.015 8.675
S -2.108 0.015 9.837
S 1.067 1.818 9.837
S -1.067 -1.818 8.675
S -1.041 1.833 8.675
S 1.041 -1.833 9.837
Ni 0.000 0.000 9.256
CELL_PARAMETERS angstrom
3.517 2.030 6.171
-3.517 2.030 6.171
0.000 -4.061 6.171
! **Total energy**: -3.14 eV per atom
! **Total magnetization**: 0.01 μB per formula unit



[8]
! Ta2As3W4C3, optimized geometry, DFT PBE; values from VASP
&SYSTEM
  ibrav = 0, nat = 24, ntyp = 4
/
ATOMIC_SPECIES
W 183.84 W.upf
C 12.01 C.upf
As 74.92 As.upf
Ta 180.95 Ta.upf
ATOMIC_POSITIONS angstrom
W 8.755 6.820 2.107
W 6.260 1.458 -0.119
W 1.277 0.424 -0.406
W 3.725 3.404 0.346
W 6.160 8.822 2.538
W 3.772 5.785 1.819
W 3.872 -1.578 -0.838
W 6.307 3.840 1.355
C 1.919 -1.175 -1.706
C 3.155 -2.758 0.839
C 5.642 3.455 -0.673
C 4.390 3.788 2.373
C 0.669 -0.830 1.260
C 3.104 5.416 -0.199
As 7.596 6.114 -1.996
As 6.248 6.505 1.127
As 2.436 1.129 3.696
As 4.899 6.959 3.972
As 5.133 0.285 -2.272
As 3.784 0.739 0.573
Ta 2.641 -1.100 2.202
Ta 7.391 8.344 -0.501
Ta 4.932 1.699 2.810
Ta 5.100 5.544 -1.110
CELL_PARAMETERS angstrom
-0.013 -1.236 5.510
3.837 -2.351 -3.411
6.207 10.831 -0.399
! **Total energy**: -9.84 eV per atom
! **Total magnetization**: 0.00 μB per formula unit



[9]
! Nb3AgGe5, optimized geometry, DFT PBE; values from VASP
&SYSTEM
  ibrav = 0, nat = 9, ntyp = 3
/
ATOMIC_SPECIES
Nb 92.91 Nb.upf
Ge 72.64 Ge.upf
Ag 107.87 Ag.upf
ATOMIC_POSITIONS angstrom
Nb -2.315 -0.271 3.715
Nb -0.955 -2.703 3.320
Nb -0.890 2.155 3.715
Ge -2.638 -1.713 1.458
Ge -2.036 -2.067 5.709
Ge -2.595 1.525 1.722
Ge -1.992 1.171 5.972
Ge 0.471 -0.277 3.320
Ag 0.000 0.000 0.000
CELL_PARAMETERS angstrom
-2.721 4.863 0.791
-2.851 -4.852 0.000
0.941 -0.553 6.640
! **Total energy**: -6.11 eV per atom
! **Total magnetization**: 0.01 μB per formula unit



[10]
! Cd2Co2P, optimized geometry, DFT PBE; values from VASP
&SYSTEM
  ibrav = 0, nat = 10, ntyp = 3
/
ATOMIC_SPECIES
Co 58.93 Co.upf
Cd 112.41 Cd.upf
P 30.97 P.upf
ATOMIC_POSITIONS angstrom
Co -4.667 3.762 1.385
Co -2.542 2.871 -0.645
Co -1.550 0.739 1.329
Co -3.675 1.629 3.359
Cd -3.203 4.516 3.488
Cd -0.102 2.954 0.971
Cd -1.126 2.323 3.754
Cd -2.179 5.147 0.705
P -3.108 2.250 1.357
P 0.000 0.000 0.000
CELL_PARAMETERS angstrom
-3.131 4.329 -2.142
-3.086 0.171 4.856
2.911 2.969 1.745
! **Total energy**: -4.33 eV per atom
! **Total magnetization**: 0.04 μB per formula unit



[11]
! Lu2TcBi, optimized geometry, DFT PBE; values from VASP
&SYSTEM
  ibrav = 0, nat = 4, ntyp = 3
/
ATOMIC_SPECIES
Lu 174.97 Lu.upf
Tc 98.00 Tc.upf
Bi 208.98 Bi.upf
ATOMIC_POSITIONS angstrom
Lu -1.839 -6.613 -6.019
Lu 0.000 0.000 0.000
Tc -0.613 -2.204 -2.006
Bi -1.226 -4.409 -4.012
CELL_PARAMETERS angstrom
1.258 -4.557 -1.532
-3.496 -3.116 -1.662
-0.215 -1.145 -4.831
! **Total energy**: -5.85 eV per atom
! **Total magnetization**: 0.00 μB per formula unit



[12]
! NpReB, optimized geometry, DFT PBE; values from VASP
&SYSTEM
  ibrav = 0, nat = 3, ntyp = 3
/
ATOMIC_SPECIES
Np 237.00 Np.upf
B 10.81 B.upf
Re 186.21 Re.upf
ATOMIC_POSITIONS angstrom
Np 0.000 0.000 0.000
B 1.489 1.489 1.489
Re 4.468 4.468 4.468
CELL_PARAMETERS angstrom
0.000 2.979 2.979
2.979 0.000 2.979
2.979 2.979 0.000
! **Total energy**: -9.14 eV per atom
! **Total magnetization**: 1.97 μB per formula unit